(1)
First-principles (PBEsol) data for a geometry-optimized BaCd2Ru structure, as listed in Alexandria via LeMat-Bulk.

The calculation puts the formation energy at 0.3777 eV/atom.

a b c (Å): 4.345 3.914 11.931
angles (deg): 90.00 90.00 90.00
Space group Amm2 (No. 38)
Symmetry-distinct sites (fractional):
Ba 0.000 0.000 0.000 x2
Cd 0.000 0.000 0.271 x2
Cd 0.500 0.000 0.729 x2
Ru 0.500 0.000 0.400 x2


(2)
First-principles (PBEsol) data for a geometry-optimized BaCd2TcRu structure, as listed in Alexandria via LeMat-Bulk.

The calculation puts the formation energy at 2.6576 eV/atom.

a b c (Å): 5.652 5.652 4.934
angles (deg): 90.00 90.00 90.00
Space group P4/mmm (No. 123)
Symmetry-distinct sites (fractional):
Ba 0.000 0.000 0.000 x1
Cd 0.000 0.500 0.000 x2
Tc 0.000 0.000 0.500 x1
Ru 0.500 0.500 0.500 x1


(3)
First-principles (PBEsol) data for a geometry-optimized Ba2CdSeS structure, as listed in Alexandria via LeMat-Bulk.

The formation energy without anion corrections comes out at -521 meV per atom.

a b c (Å): 6.235 6.235 4.887
angles (deg): 90.00 90.00 90.00
Space group P4/mmm (No. 123)
Symmetry-distinct sites (fractional):
Ba 0.000 0.500 0.000 x2
Cd 0.000 0.000 0.000 x1
Se 0.000 0.000 0.500 x1
S 0.500 0.500 0.500 x1


(4)
First-principles (PBEsol) data for a geometry-optimized BaCdSnS4 structure, as listed in Alexandria via LeMat-Bulk.

The formation energy without anion corrections comes out at -1002 meV per atom.

a b c (Å): 21.500 21.863 13.049
angles (deg): 90.00 90.00 90.00
Space group Fdd2 (No. 43)
Symmetry-distinct sites (fractional):
Ba 0.000 0.000 0.000 x8
Ba 0.000 0.000 0.496 x8
Ba 0.001 0.252 0.999 x16
Cd 0.073 0.125 0.714 x16
Cd 0.113 0.124 0.247 x16
Sn 0.068 0.375 0.787 x16
Sn 0.113 0.376 0.245 x16
S 0.031 0.124 0.378 x16
S 0.033 0.377 0.120 x16
S 0.039 0.373 0.611 x16
S 0.042 0.126 0.896 x16
S 0.120 0.290 0.361 x16
S 0.121 0.460 0.364 x16
S 0.121 0.461 0.861 x16
S 0.122 0.289 0.863 x16


(5)
First-principles (PBEsol) data for a geometry-optimized Ba3CdSn2S8 structure, as listed in Alexandria via LeMat-Bulk.

The formation energy without anion corrections comes out at -1213 meV per atom.

a b c (Å): 14.643 14.643 14.719
angles (deg): 90.00 90.00 90.00
Space group I-42d (No. 122)
Symmetry-distinct sites (fractional):
Ba 0.000 0.000 0.142 x8
Ba 0.016 0.750 0.625 x8
Ba 0.229 0.250 0.125 x8
Cd 0.128 0.750 0.125 x8
Sn 0.016 0.222 0.356 x16
S 0.066 0.665 0.263 x16
S 0.092 0.645 0.803 x16
S 0.109 0.184 0.792 x16
S 0.112 0.135 0.261 x16


(6)
First-principles (PBEsol) data for a geometry-optimized BaCdSb2 structure, as listed in Alexandria via LeMat-Bulk.

The formation energy without anion corrections comes out at -620 meV per atom.

a b c (Å): 4.527 4.527 24.087
angles (deg): 90.00 90.00 90.00
Space group I4/mmm (No. 139)
Symmetry-distinct sites (fractional):
Ba 0.000 0.000 0.113 x4
Cd 0.000 0.500 0.250 x4
Sb 0.000 0.000 0.327 x4
Sb 0.000 0.500 0.000 x4


(7)
First-principles (PBEsol) data for a geometry-optimized Ba3Cd2Sb4 structure, as listed in Alexandria via LeMat-Bulk.

The formation energy without anion corrections comes out at -777 meV per atom.

a b c (Å): 17.763 4.846 7.654
angles (deg): 90.00 111.89 90.00
Space group C2/m (No. 12)
Symmetry-distinct sites (fractional):
Ba 0.000 0.000 0.000 x2
Ba 0.142 0.000 0.595 x4
Cd 0.167 0.500 0.970 x4
Sb 0.001 0.500 0.686 x4
Sb 0.207 0.000 0.196 x4


(8)
First-principles (PBEsol) data for a geometry-optimized Ba2Cd2Sb3 structure, as listed in Alexandria via LeMat-Bulk.

The formation energy without anion corrections comes out at -694 meV per atom.

a b c (Å): 17.952 4.827 13.367
angles (deg): 90.00 127.05 90.00
Space group C2/m (No. 12)
Symmetry-distinct sites (fractional):
Ba 0.100 0.000 0.441 x4
Ba 0.237 0.000 0.838 x4
Cd 0.043 0.500 0.809 x4
Cd 0.092 0.000 0.154 x4
Sb 0.083 0.500 0.625 x4
Sb 0.112 0.000 0.957 x4
Sb 0.155 0.500 0.304 x4